Below is crystalline Ba3YI9 at its relaxed geometry, with properties calculated at the PBE level.

Unit cell a=8.3202 b=14.2582 c=20.3392 alpha=90.00 beta=90.00 gamma=90.00
Closest atoms and distances in Å follow each position.
Sites, in units of the cell vectors:
Ba1 0.2500 0.4392 0.6013  8 I 3.61-3.81
Ba2 0.2500 0.3289 0.0328  5 I 3.36-3.62
Ba3 0.7500 0.2423 0.8419  7 I 3.48-3.66
Ba4 0.2500 0.2577 0.3419  7 I 3.48-3.66
Ba5 0.7500 0.1711 0.5328  5 I 3.36-3.62
Ba6 0.7500 0.0608 0.1013  8 I 3.61-3.81
Ba7 0.2500 0.9392 0.8987  8 I 3.61-3.81
Ba8 0.2500 0.8289 0.4672  5 I 3.36-3.62
Ba9 0.7500 0.7423 0.6581  7 I 3.48-3.66
Ba10 0.2500 0.7577 0.1581  7 I 3.48-3.66
Ba11 0.7500 0.6711 0.9672  5 I 3.36-3.62
Ba12 0.7500 0.5608 0.3987  8 I 3.61-3.81
Y1 0.7500 0.4899 0.1807  6 I 2.98-3.09
Y2 0.2500 0.0101 0.6807  6 I 2.98-3.09
Y3 0.7500 0.9899 0.3193  6 I 2.98-3.09
Y4 0.2500 0.5101 0.8193  6 I 2.98-3.09
I1 0.9858 0.4339 0.9120  1 Y 3.09
I2 0.5142 0.4339 0.9120  1 Y 3.09
I3 0.0046 0.4421 0.2796  1 Y 3.00
I4 0.4954 0.4421 0.2796  1 Y 3.00
I5 0.2500 0.3192 0.7594  1 Y 2.98
I6 0.7500 0.2919 0.6746  2 Ba 3.36-3.48
I7 0.9938 0.3585 0.4699  4 Ba 3.59-3.81
I8 0.5062 0.3585 0.4699  4 Ba 3.59-3.81
I9 0.7500 0.3228 0.0892  1 Y 3.02
I10 0.2500 0.1772 0.5892  1 Y 3.02
I11 0.4938 0.1415 0.9699  4 Ba 3.59-3.81
I12 0.0062 0.1415 0.9699  4 Ba 3.59-3.81
I13 0.2500 0.2081 0.1746  2 Ba 3.36-3.48
I14 0.7500 0.1808 0.2594  1 Y 2.98
I15 0.9954 0.0579 0.7796  1 Y 3.00
I16 0.5046 0.0579 0.7796  1 Y 3.00
I17 0.4858 0.0661 0.4120  1 Y 3.09
I18 0.0142 0.0661 0.4120  1 Y 3.09
I19 0.9858 0.9339 0.5880  1 Y 3.09
I20 0.5142 0.9339 0.5880  1 Y 3.09
I21 0.4954 0.9421 0.2204  1 Y 3.00
I22 0.0046 0.9421 0.2204  1 Y 3.00
I23 0.2500 0.8192 0.7406  1 Y 2.98
I24 0.7500 0.7919 0.8254  2 Ba 3.36-3.48
I25 0.9938 0.8585 0.0301  4 Ba 3.59-3.81
I26 0.5062 0.8585 0.0301  4 Ba 3.59-3.81
I27 0.7500 0.8228 0.4108  1 Y 3.02
I28 0.2500 0.6772 0.9108  1 Y 3.02
I29 0.4938 0.6415 0.5301  4 Ba 3.59-3.81
I30 0.0062 0.6415 0.5301  4 Ba 3.59-3.81
I31 0.2500 0.7081 0.3254  2 Ba 3.36-3.48
I32 0.7500 0.6808 0.2406  1 Y 2.98
I33 0.9954 0.5579 0.7204  1 Y 3.00
I34 0.5046 0.5579 0.7204  1 Y 3.00
I35 0.4858 0.5661 0.0880  1 Y 3.09
I36 0.0142 0.5661 0.0880  1 Y 3.09

Magnetic moment = 0.00 μB per atom
Volume = 46.40 Å³/atom
Theoretical density = 4.52 Mg/m³
ΔE_f (raw) = -1.612 eV per atom
DOS at the Fermi energy = 0.00 states/eV per atom